Entry 1:
Density functional theory data (PBE) for an optimized crystal structure of SmYZr2Bi2.

abc: 9.065 9.065 9.065
angles: 152.26 152.26 39.64
Fractional positions:
Sm 0.000 0.000 0.000
Y 0.647 0.647 0.000
Zr 0.322 0.822 0.500
Zr 0.822 0.322 0.500
Bi 0.189 0.189 0.000
Bi 0.455 0.455 0.000

Calculated values
The value obtained for the volume is 161 Å³/cell. The total DFT energy (no corrections) is -6.642 eV per atom. The magnetic moment comes out at 0.1 μB per cell.


Entry 2:
Density functional theory data (PBE) for an optimized crystal structure of TaSn2Bi2.

abc: 8.454 8.454 8.454
angles: 151.02 151.02 41.45
Fractional positions:
Ta 0.000 0.000 0.000
Sn 0.412 0.412 0.000
Sn 0.588 0.588 0.000
Bi 0.250 0.750 0.500
Bi 0.750 0.250 0.500

Calculated values
The value obtained for the volume is 142 Å³/cell. The total DFT energy (no corrections) is -4.675 eV per atom. The magnetic moment comes out at 1.6 μB per cell.


Entry 3:
Density functional theory data (PBE) for an optimized crystal structure of TaSnBi.

abc: 4.887 4.887 4.887
angles: 60.00 60.00 60.00
Fractional positions:
Ta 0.000 0.000 0.000
Sn 0.250 0.250 0.250
Bi 0.750 0.750 0.750

Calculated values
The value obtained for the volume is 83 Å³/cell. The magnetic moment comes out at 0.0 μB per cell. The energy above the lowest structure with this stoichiometry is 0 meV per atom.


Entry 4:
Density functional theory data (PBE) for an optimized crystal structure of TaSnBi.

abc: 9.138 9.138 2.986
angles: 90.00 90.00 120.00
Fractional positions:
Ta 0.000 0.000 0.000
Ta 0.333 0.667 0.000
Ta 0.667 0.333 0.000
Sn 0.000 0.334 0.500
Sn 0.334 0.000 0.500
Sn 0.666 0.666 0.500
Bi 0.000 0.667 0.500
Bi 0.333 0.333 0.500
Bi 0.667 0.000 0.500

Calculated values
The value obtained for the volume is 216 Å³/cell. The magnetic moment comes out at 0.0 μB per cell. The energy above the lowest structure with this stoichiometry is 41 meV per atom.


Entry 5:
Density functional theory data (PBE) for an optimized crystal structure of TaSnBi.

abc: 4.914 4.914 4.914
angles: 60.00 60.00 60.00
Fractional positions:
Ta 0.000 0.000 0.000
Sn 0.750 0.750 0.750
Bi 0.500 0.500 0.500

Calculated values
The value obtained for the volume is 84 Å³/cell. The magnetic moment comes out at 0.1 μB per cell. The energy above the lowest structure with this stoichiometry is 397 meV per atom.


Entry 6:
Density functional theory data (PBE) for an optimized crystal structure of TcSnBi2.

abc: 5.111 5.111 5.111
angles: 60.00 60.00 60.00
Fractional positions:
Tc 0.000 0.000 0.000
Sn 0.250 0.250 0.250
Bi 0.500 0.500 0.500
Bi 0.750 0.750 0.750

Calculated values
The value obtained for the volume is 94 Å³/cell. The total DFT energy (no corrections) is -4.948 eV per atom. The magnetic moment comes out at 0.0 μB per cell.


Entry 7:
Density functional theory data (PBE) for an optimized crystal structure of TcSn2Bi.

abc: 5.041 5.041 5.041
angles: 60.00 60.00 60.00
Fractional positions:
Tc 0.000 0.000 0.000
Sn 0.250 0.250 0.250
Sn 0.500 0.500 0.500
Bi 0.750 0.750 0.750

Calculated values
The value obtained for the volume is 91 Å³/cell. The total DFT energy (no corrections) is -5.031 eV per atom. The magnetic moment comes out at 0.0 μB per cell.


Entry 8:
Density functional theory data (PBE) for an optimized crystal structure of TcSnBi.

abc: 4.671 4.671 4.671
angles: 60.00 60.00 60.00
Fractional positions:
Tc 0.000 0.000 0.000
Sn 0.250 0.250 0.250
Bi 0.750 0.750 0.750

Calculated values
The value obtained for the volume is 72 Å³/cell. The magnetic moment comes out at 0.0 μB per cell. The energy above the lowest structure with this stoichiometry is 0 meV per atom.


Entry 9:
Density functional theory data (PBE) for an optimized crystal structure of ThSnBi.

abc: 5.331 5.331 5.331
angles: 60.00 60.00 60.00
Fractional positions:
Th 0.000 0.000 0.000
Sn 0.250 0.250 0.250
Bi 0.750 0.750 0.750

Calculated values
The value obtained for the volume is 107 Å³/cell. The magnetic moment comes out at 0.0 μB per cell. The energy above the lowest structure with this stoichiometry is 0 meV per atom.


Entry 10:
Density functional theory data (PBE) for an optimized crystal structure of ThSnBi.

abc: 5.268 5.268 5.268
angles: 60.00 60.00 60.00
Fractional positions:
Th 0.000 0.000 0.000
Sn 0.750 0.750 0.750
Bi 0.500 0.500 0.500

Calculated values
The value obtained for the volume is 103 Å³/cell. The magnetic moment comes out at 0.0 μB per cell. The energy above the lowest structure with this stoichiometry is 65 meV per atom.


Entry 11:
Density functional theory data (PBE) for an optimized crystal structure of SnBiW.

abc: 4.793 4.793 4.793
angles: 60.00 60.00 60.00
Fractional positions:
Sn 0.000 0.000 0.000
Bi 0.500 0.500 0.500
W 0.750 0.750 0.750

Calculated values
The value obtained for the volume is 78 Å³/cell. The magnetic moment comes out at 1.5 μB per cell. The energy above the lowest structure with this stoichiometry is 0 meV per atom.


Entry 12:
Density functional theory data (PBE) for an optimized crystal structure of ZnSnBi2.

abc: 5.410 5.410 5.410
angles: 60.00 60.00 60.00
Fractional positions:
Zn 0.000 0.000 0.000
Sn 0.750 0.750 0.750
Bi 0.250 0.250 0.250
Bi 0.500 0.500 0.500

Calculated values
The value obtained for the volume is 112 Å³/cell. The total DFT energy (no corrections) is -3.161 eV per atom.


Entry 13:
Density functional theory data (PBE) for an optimized crystal structure of ZnSnBi.

abc: 5.085 5.085 5.085
angles: 60.00 60.00 60.00
Fractional positions:
Zn 0.000 0.000 0.000
Sn 0.750 0.750 0.750
Bi 0.500 0.500 0.500

Calculated values
The value obtained for the volume is 93 Å³/cell. The energy above the lowest structure with this stoichiometry is 0 meV per atom.


Entry 14:
Density functional theory data (PBE) for an optimized crystal structure of ZrSnBi.

abc: 5.059 5.059 5.059
angles: 60.00 60.00 60.00
Fractional positions:
Zr 0.000 0.000 0.000
Sn 0.750 0.750 0.750
Bi 0.500 0.500 0.500

Calculated values
The value obtained for the volume is 92 Å³/cell. The magnetic moment comes out at 0.1 μB per cell. The energy above the lowest structure with this stoichiometry is 212 meV per atom.


Entry 15:
Density functional theory data (PBE) for an optimized crystal structure of ZrSnBi.

abc: 5.027 5.027 5.027
angles: 60.00 60.00 60.00
Fractional positions:
Zr 0.000 0.000 0.000
Sn 0.250 0.250 0.250
Bi 0.750 0.750 0.750

Calculated values
The value obtained for the volume is 90 Å³/cell. The magnetic moment comes out at 0.1 μB per cell. The energy above the lowest structure with this stoichiometry is 0 meV per atom.